Computed, not measured: a geometry-optimized Ca2Tc3 structure at the GGA-PBE level of DFT.

The structure belongs to space group R-3m (No. 166, hexagonal axes); the cell edges are 2.9761, 2.9761 and 36.5890 Å and the angles 90.00°, 90.00° and 120.00°. Symmetry generates all atoms from Ca at (0.0000, 0.0000, 0.0983), Tc at (0.0000, 0.0000, 0.3071) and Tc at (0.0000, 0.0000, 0.5000).

The value obtained for the total magnetic moment is 0.9 μB/cell. For the energy above the lowest structure with this stoichiometry, the calculation gives 0.357 eV/atom. For the formation energy, the calculation gives 0.707 eV/atom. For the density of states at the Fermi level, the calculation gives 4.71 states/eV/f.u.


Computed, not measured: a geometry-optimized BeCd2Pt structure at the GGA-PBE level of DFT.

The structure belongs to space group I-4m2 (No. 119); the cell edges are 3.9942, 3.9942 and 8.2219 Å and the angles 90.00°, 90.00° and 90.00°. Symmetry generates all atoms from Be at (0.0000, 0.0000, 0.0000), Cd at (0.0000, 0.0000, 0.5000), Cd at (0.0000, 0.5000, 0.7500) and Pt at (0.0000, 0.5000, 0.2500).

The value obtained for the total magnetic moment is 0.0 μB/cell. For the formation energy, the calculation gives -0.025 eV/atom. For the density of states at the Fermi level, the calculation gives 0.91 states/eV/f.u.


Computed, not measured: a geometry-optimized Cr2CuB2 structure at the GGA-PBE level of DFT.

The structure belongs to space group P4/mbm (No. 127); the cell edges are 5.4908, 5.4908 and 2.9919 Å and the angles 90.00°, 90.00° and 90.00°. Symmetry generates all atoms from Cr at (0.1738, 0.3262, 0.0000), Cu at (0.0000, 0.0000, 0.5000) and B at (0.1129, 0.6129, 0.5000).

The value obtained for the total magnetic moment is 1.4 μB/cell. For the formation energy, the calculation gives -0.205 eV/atom. For the density of states at the Fermi level, the calculation gives 5.57 states/eV/f.u.


Computed, not measured: a geometry-optimized EuSn2Ge structure at the GGA-PBE level of DFT.

The structure belongs to space group P4/mmm (No. 123); the cell edges are 4.6074, 4.6074 and 4.7543 Å and the angles 90.00°, 90.00° and 90.00°. Symmetry generates all atoms from Eu at (0.0000, 0.0000, 0.0000), Sn at (0.0000, 0.5000, 0.5000) and Ge at (0.5000, 0.5000, 0.0000).

The value obtained for the total magnetic moment is 6.8 μB/cell. For the formation energy, the calculation gives -0.405 eV/atom. For the density of states at the Fermi level, the calculation gives 1.96 states/eV/f.u.


Computed, not measured: a geometry-optimized CdHg3Cl structure at the GGA-PBE level of DFT.

The structure belongs to space group Pm-3m (No. 221); the cell edges are 5.5795, 5.5795 and 5.5795 Å and the angles 90.00°, 90.00° and 90.00°. Symmetry generates all atoms from Cd at (0.0000, 0.0000, 0.0000), Hg at (0.0000, 0.0000, 0.5000) and Cl at (0.5000, 0.5000, 0.5000).

The value obtained for the total magnetic moment is 0.0 μB/cell. For the energy above the lowest structure with this stoichiometry, the calculation gives 0.000 eV/atom. The uncorrected formation energy is -0.083 eV/atom. For the density of states at the Fermi level, the calculation gives 1.06 states/eV/f.u.


Computed, not measured: a geometry-optimized Hf2TaPd2 structure at the GGA-PBE level of DFT.

The structure belongs to space group P4/mbm (No. 127); the cell edges are 7.7429, 7.7429 and 3.1362 Å and the angles 90.00°, 90.00° and 90.00°. Symmetry generates all atoms from Hf at (0.1637, 0.3363, 0.0000), Ta at (0.0000, 0.0000, 0.0000) and Pd at (0.1342, 0.6342, 0.5000).

The value obtained for the total magnetic moment is 0.0 μB/cell. For the energy above the lowest structure with this stoichiometry, the calculation gives 0.143 eV/atom. For the formation energy, the calculation gives -0.210 eV/atom. For the density of states at the Fermi level, the calculation gives 4.91 states/eV/f.u.


Computed, not measured: a geometry-optimized CsSnTe6Au structure at the GGA-PBE level of DFT.

The structure belongs to space group Imma (No. 74); the cell edges are 8.9882, 10.0750 and 15.6620 Å and the angles 90.00°, 90.00° and 90.00°. Symmetry generates all atoms from Cs at (0.0000, 0.2500, 0.1672), Sn at (0.0000, 0.0000, 0.5000), Te at (0.0000, 0.2500, 0.4054), Te at (0.0000, 0.2500, 0.9173), Te at (0.2498, 0.0573, 0.6264) and Au at (0.2500, 0.2500, 0.7500).

The value obtained for the total magnetic moment is 0.0 μB/cell. The uncorrected formation energy is -0.175 eV/atom. For the density of states at the Fermi level, the calculation gives 3.80 states/eV/f.u.


Computed, not measured: a geometry-optimized Li2MgTl3 structure at the GGA-PBE level of DFT.

The structure belongs to space group P4/mmm (No. 123); the cell edges are 3.5035, 3.5035 and 10.9649 Å and the angles 90.00°, 90.00° and 90.00°. Symmetry generates all atoms from Li at (0.0000, 0.0000, 0.1618), Mg at (0.0000, 0.0000, 0.5000), Tl at (0.5000, 0.5000, 0.0000) and Tl at (0.5000, 0.5000, 0.3207).

The value obtained for the total magnetic moment is 0.0 μB/cell. For the formation energy, the calculation gives -0.166 eV/atom. For the density of states at the Fermi level, the calculation gives 2.03 states/eV/f.u.


Q: What is the total magnetic moment in the first record?
A: 0.9 μB/cell


Q: total magnetic moment of number 7 (CsSnTe6Au)?
A: 0.0 μB/cell


Q: Which value of total magnetic moment does entry 4 give?
A: 6.8 μB/cell